[1]
{
  "formula": "Si2HgSb",
  "functional": "GGA-PBE",
  "state": "optimized geometry",
  "magmom_total_mub_per_fu": 0.00,
  "relative_energy_ev_per_atom": 0.122,
  "e_form_raw_mev_per_atom": 406,
  "lattice_angstrom": [[-1.799, 1.977, 6.359], [1.799, -1.977, 6.359], [1.799, 1.977, -6.359]],
  "species": ["Si", "Si", "Hg", "Sb"],
  "frac_coords": [[0.000, 0.000, 0.000], [0.870, 0.370, 0.500], [0.591, 0.591, 0.000], [0.290, 0.790, 0.500]]
}

[2]
{
  "formula": "Si2HgSb",
  "functional": "GGA-PBE",
  "state": "optimized geometry",
  "magmom_total_mub_per_fu": 0.00,
  "relative_energy_ev_per_atom": 0.129,
  "e_form_raw_mev_per_atom": 413,
  "lattice_angstrom": [[3.429, -1.978, 0.000], [3.429, 1.978, 0.000], [-2.228, 0.000, 6.489]],
  "species": ["Si", "Si", "Hg", "Sb"],
  "frac_coords": [[0.249, 0.249, 0.250], [0.751, 0.751, 0.750], [0.000, 0.000, 0.500], [0.500, 0.500, 0.000]]
}

[3]
{
  "formula": "Si2HgSb",
  "functional": "GGA-PBE",
  "state": "optimized geometry",
  "magmom_total_mub_per_fu": 0.00,
  "relative_energy_ev_per_atom": 0.030,
  "e_form_raw_mev_per_atom": 314,
  "lattice_angstrom": [[3.751, 0.000, 0.000], [0.000, 2.734, 4.234], [0.000, -2.734, 4.234]],
  "species": ["Si", "Si", "Hg", "Sb"],
  "frac_coords": [[0.000, 0.000, 0.000], [0.500, 0.186, 0.186], [0.000, 0.454, 0.454], [0.500, 0.753, 0.753]]
}